A relaxed structure of LiPrIn, computed with PBE-GGA.

abc: 7.248 7.248 7.248
angles: 90.00 90.00 90.00
Space group F-43m (No. 216)
Symmetry-distinct sites (fractional):
Li  0.000  0.000  0.000
Pr  0.250  0.250  0.750
In  0.000  0.000  0.500

Computed properties:
Volume, Å³/f.u.: 95.2
Density, Mg/m³: 4.6
Energy, eV/atom: -2.920

=====

A relaxed structure of Pm2NCl3, computed with PBE-GGA.

abc: 16.310 3.992 10.847
angles: 90.00 120.11 90.00
Space group C2/m (No. 12)
Symmetry-distinct sites (fractional):
Pm  0.088  0.000  0.453
Pm  0.138  0.500  0.793
N  0.076  0.000  0.656
Cl  0.048  0.500  0.248
Cl  0.164  0.000  0.012
Cl  0.224  0.500  0.614

Computed properties:
Volume, Å³/f.u.: 152.7
Density, Mg/m³: 4.5
Energy, eV/atom: -5.988

=====

What are the spin magnetization values for these records? In order: 0.002, 0.000 μB/atom.